Record 1
The following is a DFT calculation (PBE) of a relaxed structure of NdY2Zr.

Lattice parameters (Å, degrees): 5.5531 5.5531 5.5531 60.00 60.00 60.00
Closest atoms and distances in Å follow each position.
Sites, in units of the cell vectors:
Y1 0.7500 0.7500 0.7500  4 Nd 3.40, 4 Zr 3.40
Nd1 0.0000 0.0000 0.0000  8 Y 3.40
Y2 0.2500 0.2500 0.2500  4 Nd 3.40, 4 Zr 3.40
Zr1 0.5000 0.5000 0.5000  8 Y 3.40

polymorph energy (0 for the lowest one)	134	meV per atom
M_tot	1.61	μB/cell
DFT total energy	-6.3345	eV/atom
ΔE_f	0.226	eV/atom

Record 2
The following is a DFT calculation (PBE) of a relaxed structure of Nd2YZr.

Lattice parameters (Å, degrees): 3.5184 3.5184 11.6508 81.32 81.32 60.00
Closest atoms and distances in Å follow each position.
Sites, in units of the cell vectors:
Nd1 0.0785 0.0785 0.7645  3 Zr 3.36, 6 Nd 3.52, 3 Y 3.63
Zr1 0.6672 0.6672 0.9983  6 Nd 3.36-3.39, 6 Zr 3.52
Y1 0.4991 0.4991 0.5026  6 Y 3.52, 6 Nd 3.63-3.69
Nd2 0.2551 0.2551 0.2346  3 Zr 3.39, 6 Nd 3.52, 3 Y 3.69

polymorph energy (0 for the lowest one)	3	meV per atom
M_tot	0.00	μB/cell
DFT total energy	-6.0087	eV/atom
ΔE_f	0.128	eV/atom

Record 3
The following is a DFT calculation (PBE) of a relaxed structure of NdY14Zr.

Lattice parameters (Å, degrees): 7.1209 7.1209 9.9870 90.00 90.00 90.00
Closest atoms and distances in Å follow each position.
Sites, in units of the cell vectors:
Zr1 0.8750 0.1250 0.0000  12 Y 3.47-3.56
Y1 0.1193 0.8807 0.2444  1 Zr 3.47, 10 Y 3.48-3.64, 1 Nd 3.55
Y2 0.3751 0.1251 0.5000  12 Y 3.56-3.59
Y3 0.3749 0.6251 0.5000  12 Y 3.56-3.63
Y4 0.6307 0.3693 0.7556  1 Zr 3.47, 10 Y 3.48-3.64, 1 Nd 3.55
Nd1 0.3750 0.6250 0.0000  12 Y 3.55-3.56
Y5 0.1193 0.3693 0.2444  1 Zr 3.47, 10 Y 3.48-3.64, 1 Nd 3.55
Y6 0.6307 0.8807 0.2444  1 Zr 3.47, 10 Y 3.48-3.64, 1 Nd 3.55
Y7 0.8751 0.1249 0.5000  12 Y 3.54-3.56
Y8 0.8750 0.6250 0.0000  8 Y 3.51, 2 Zr 3.56, 2 Nd 3.56
Y9 0.6307 0.8807 0.7556  1 Zr 3.47, 10 Y 3.48-3.64, 1 Nd 3.55
Y10 0.6307 0.3693 0.2444  1 Zr 3.47, 10 Y 3.48-3.64, 1 Nd 3.55
Y11 0.1193 0.8807 0.7556  1 Zr 3.47, 10 Y 3.48-3.64, 1 Nd 3.55
Y12 0.8749 0.6249 0.5000  12 Y 3.56-3.59
Y13 0.3750 0.1250 0.0000  8 Y 3.51, 2 Zr 3.56, 2 Nd 3.56
Y14 0.1193 0.3693 0.7556  1 Zr 3.47, 10 Y 3.48-3.64, 1 Nd 3.55

M_tot	0.00	μB/cell
DFT total energy	-6.4452	eV/atom
ΔE_f	0.043	eV/atom